No. 1
This record from the Alexandria database describes SrW after structural relaxation. The functional is PBE-GGA.

The structure in POSCAR format:
```
SrW
1.0
10.717 -0.068 -0.040
10.135 3.484 -0.040
10.135 1.660 3.063
Sr W
2 2
Direct
0.983 0.983 0.983
0.767 0.767 0.767
0.519 0.519 0.519
0.231 0.231 0.231
```

Values from the calculation:
E_form: 966.4 meV/atom
mass density: 7.64 g cm⁻³
polymorph energy (0 for the lowest one): 442 meV per atom

---

No. 2
This record from the Alexandria database describes SrW after structural relaxation. The functional is PBE-GGA.

The structure in POSCAR format:
```
SrW
1.0
-7.090 -9.382 3.552
-3.081 -2.104 -11.704
3.182 -2.549 -0.380
Sr W
8 8
Direct
0.679 0.679 0.500
0.679 0.321 0.500
0.321 0.679 0.500
0.321 0.321 0.500
0.692 0.000 0.000
0.308 0.000 0.000
0.000 0.308 0.000
0.000 0.692 0.000
0.899 0.500 0.500
0.101 0.500 0.500
0.500 0.101 0.500
0.500 0.899 0.500
0.788 0.500 0.000
0.212 0.500 0.000
0.500 0.212 0.000
0.500 0.788 0.000
```

Values from the calculation:
E_form: 987.1 meV/atom
mass density: 5.84 g cm⁻³
polymorph energy (0 for the lowest one): 463 meV per atom

---

No. 3
This record from the Alexandria database describes SrW3 after structural relaxation. The functional is PBE-GGA.

The structure in POSCAR format:
```
SrW3
1.0
-2.094 3.685 -0.591
-2.222 -0.686 3.593
2.999 2.065 2.249
Sr W
1 3
Direct
0.000 0.000 0.000
0.000 0.500 0.500
0.500 0.000 0.500
0.500 0.500 0.000
```

Values from the calculation:
E_form: 1707.9 meV/atom
mass density: 13.54 g cm⁻³
polymorph energy (0 for the lowest one): 936 meV per atom

---

No. 4
This record from the Alexandria database describes SrW3 after structural relaxation. The functional is PBE-GGA.

The structure in POSCAR format:
```
SrW3
1.0
-0.392 4.663 1.580
-4.904 -0.509 0.284
0.267 -0.959 2.896
Sr W
1 3
Direct
0.000 0.000 0.000
0.500 0.000 0.500
0.500 0.500 0.000
0.000 0.500 0.500
```

Values from the calculation:
E_form: 1390.1 meV/atom
mass density: 14.21 g cm⁻³
polymorph energy (0 for the lowest one): 619 meV per atom

---

No. 5
This record from the Alexandria database describes SrW2 after structural relaxation. The functional is PBE-GGA.

The structure in POSCAR format:
```
SrW2
1.0
3.456 -1.973 -4.594
3.932 -4.027 -2.293
-5.882 -4.505 -2.807
Sr W
2 4
Direct
0.052 0.052 0.011
0.296 0.296 0.312
0.673 0.673 0.664
0.553 0.553 0.409
0.946 0.946 0.624
0.313 0.313 0.814
```

Values from the calculation:
E_form: 920.5 meV/atom
mass density: 10.42 g cm⁻³

---

No. 6
This record from the Alexandria database describes SrW2 after structural relaxation. The functional is PBE-GGA.

The structure in POSCAR format:
```
SrW2
1.0
-2.689 -3.655 -0.861
5.029 -3.807 0.452
-1.774 -1.122 10.305
Sr W
4 8
Direct
0.250 0.611 0.377
0.750 0.889 0.877
0.250 0.111 0.123
0.750 0.389 0.623
0.250 0.928 0.657
0.750 0.572 0.157
0.250 0.428 0.843
0.750 0.072 0.343
0.250 0.105 0.452
0.750 0.395 0.952
0.250 0.605 0.048
0.750 0.895 0.548
```

Values from the calculation:
E_form: 1032.5 meV/atom
mass density: 9.85 g cm⁻³

---

No. 7
This record from the Alexandria database describes SrW after structural relaxation. The functional is PBE-GGA.

The structure in POSCAR format:
```
SrW
1.0
13.815 0.000 0.000
0.000 13.815 0.000
0.000 0.000 3.351
Sr W
8 8
Direct
0.545 0.702 0.000
0.455 0.298 0.000
0.298 0.545 0.000
0.702 0.455 0.000
0.045 0.202 0.500
0.955 0.798 0.500
0.798 0.045 0.500
0.202 0.955 0.500
0.226 0.308 0.000
0.774 0.692 0.000
0.692 0.226 0.000
0.308 0.774 0.000
0.726 0.808 0.500
0.274 0.192 0.500
0.192 0.726 0.500
0.808 0.274 0.500
```

Values from the calculation:
E_form: 1357.5 meV/atom
mass density: 5.64 g cm⁻³
polymorph energy (0 for the lowest one): 833 meV per atom

---

No. 8
This record from the Alexandria database describes SrW3 after structural relaxation. The functional is PBE-GGA.

The structure in POSCAR format:
```
SrW3
1.0
-1.630 5.244 1.560
-0.720 -4.441 3.515
2.452 0.445 1.065
Sr W
1 3
Direct
0.000 0.000 0.000
0.000 0.500 0.500
0.500 0.000 0.500
0.500 0.500 0.000
```

Values from the calculation:
E_form: 1294.9 meV/atom
mass density: 13.97 g cm⁻³
polymorph energy (0 for the lowest one): 523 meV per atom

---

No. 9
This record from the Alexandria database describes Sr2YW after structural relaxation. The functional is PBE-GGA.

The structure in POSCAR format:
```
Sr2YW
1.0
0.000 3.985 3.985
3.985 0.000 3.985
3.985 3.985 0.000
Y Sr W
1 2 1
Direct
0.000 0.000 0.000
0.250 0.250 0.250
0.750 0.750 0.750
0.500 0.500 0.500
```

Values from the calculation:
E_form: 1123.9 meV/atom
mass density: 5.88 g cm⁻³
polymorph energy (0 for the lowest one): 437 meV per atom

---

No. 10
This record from the Alexandria database describes SrY3W after structural relaxation. The functional is PBE-GGA.

The structure in POSCAR format:
```
SrY3W
1.0
5.309 0.000 0.000
0.000 5.309 0.000
0.000 0.000 5.309
Y Sr W
3 1 1
Direct
0.000 0.500 0.000
0.000 0.000 0.500
0.500 0.000 0.000
0.000 0.000 0.000
0.500 0.500 0.500
```

Values from the calculation:
E_form: 2117.6 meV/atom
mass density: 5.97 g cm⁻³
polymorph energy (0 for the lowest one): 1700 meV per atom

---

No. 11
This record from the Alexandria database describes Sr2YW after structural relaxation. The functional is PBE-GGA.

The structure in POSCAR format:
```
Sr2YW
1.0
6.985 0.006 0.004
3.321 6.145 -0.004
-4.352 -4.418 3.215
Sr W Y
2 1 1
Direct
0.004 0.004 0.000
0.705 0.205 0.500
0.484 0.484 0.000
0.307 0.807 0.500
```

Values from the calculation:
E_form: 874.0 meV/atom
mass density: 5.40 g cm⁻³
polymorph energy (0 for the lowest one): 187 meV per atom

---

No. 12
This record from the Alexandria database describes Sr2YW after structural relaxation. The functional is PBE-GGA.

The structure in POSCAR format:
```
Sr2YW
1.0
5.272 -0.001 -0.010
4.203 3.182 -0.010
0.566 0.190 7.970
Sr W Y
2 1 1
Direct
0.995 0.995 0.055
0.765 0.765 0.697
0.503 0.503 0.430
0.238 0.238 0.317
```

Values from the calculation:
E_form: 850.5 meV/atom
mass density: 5.56 g cm⁻³
polymorph energy (0 for the lowest one): 164 meV per atom

---

No. 13
This record from the Alexandria database describes Sr2YW after structural relaxation. The functional is PBE-GGA.

The structure in POSCAR format:
```
Sr2YW
1.0
4.743 0.000 0.000
0.000 4.748 0.000
0.000 0.000 5.386
Sr W Y
2 1 1
Direct
0.000 0.000 0.000
0.500 0.500 0.000
0.500 0.000 0.500
0.000 0.500 0.500
```

Values from the calculation:
E_form: 1035.8 meV/atom
mass density: 6.13 g cm⁻³
polymorph energy (0 for the lowest one): 349 meV per atom

---

No. 14
This record from the Alexandria database describes SrYW2 after structural relaxation. The functional is PBE-GGA.

The structure in POSCAR format:
```
SrYW2
1.0
10.647 0.023 0.013
10.121 3.305 0.013
10.121 1.622 2.880
Sr W Y
1 2 1
Direct
0.737 0.737 0.737
0.983 0.983 0.983
0.262 0.262 0.262
0.517 0.517 0.517
```

Values from the calculation:
E_form: 795.1 meV/atom
mass density: 9.02 g cm⁻³
polymorph energy (0 for the lowest one): 294 meV per atom

---

No. 15
This record from the Alexandria database describes SrYW after structural relaxation. The functional is PBE-GGA.

The structure in POSCAR format:
```
SrYW
1.0
-4.616 1.401 1.888
-1.297 -1.244 4.858
-0.305 3.688 3.624
Sr W Y
1 1 1
Direct
0.500 0.500 0.500
0.750 0.750 0.750
0.000 0.000 0.000
```

Values from the calculation:
E_form: 1344.6 meV/atom
mass density: 6.09 g cm⁻³
polymorph energy (0 for the lowest one): 490 meV per atom

---

No. 16
This record from the Alexandria database describes SrYW2 after structural relaxation. The functional is PBE-GGA.

The structure in POSCAR format:
```
SrYW2
1.0
2.889 0.054 0.000
-0.071 2.889 0.000
0.000 0.000 10.498
Sr W Y
1 2 1
Direct
0.500 0.500 0.750
0.000 0.000 0.014
0.000 0.000 0.486
0.500 0.500 0.250
```

Values from the calculation:
E_form: 1045.0 meV/atom
mass density: 10.31 g cm⁻³
polymorph energy (0 for the lowest one): 544 meV per atom

---

No. 17
This record from the Alexandria database describes Sr2YW after structural relaxation. The functional is PBE-GGA.

The structure in POSCAR format:
```
Sr2YW
1.0
11.178 0.000 0.000
0.000 11.178 0.000
5.589 5.589 2.695
Y Sr W
2 4 2
Direct
0.500 0.500 0.000
0.250 0.750 0.500
0.760 0.125 0.250
0.990 0.625 0.250
0.375 0.240 0.750
0.875 0.010 0.750
0.000 0.000 0.000
0.750 0.250 0.500
```

Values from the calculation:
E_form: 1177.1 meV/atom
mass density: 4.42 g cm⁻³
polymorph energy (0 for the lowest one): 490 meV per atom

---

No. 18
This record from the Alexandria database describes SrYW2 after structural relaxation. The functional is PBE-GGA.

The structure in POSCAR format:
```
SrYW2
1.0
5.000 0.000 0.000
0.025 5.000 0.000
-2.513 -2.500 3.527
Sr W Y
1 2 1
Direct
0.750 0.250 0.500
0.000 0.000 0.000
0.250 0.750 0.500
0.500 0.500 0.000
```

Values from the calculation:
E_form: 1066.8 meV/atom
mass density: 10.25 g cm⁻³
polymorph energy (0 for the lowest one): 565 meV per atom

---

No. 19
This record from the Alexandria database describes Sr2YW after structural relaxation. The functional is PBE-GGA.

The structure in POSCAR format:
```
Sr2YW
1.0
6.264 0.001 0.000
2.588 5.704 0.000
-4.426 -2.853 3.393
Sr W Y
2 1 1
Direct
0.000 0.000 0.000
0.500 0.500 0.000
0.250 0.750 0.500
0.750 0.250 0.500
```

Values from the calculation:
E_form: 1036.8 meV/atom
mass density: 6.14 g cm⁻³
polymorph energy (0 for the lowest one): 350 meV per atom

---

No. 20
This record from the Alexandria database describes SrYW2 after structural relaxation. The functional is PBE-GGA.

The structure in POSCAR format:
```
SrYW2
1.0
-0.520 -2.657 -1.190
2.142 -2.189 3.953
-5.967 -0.225 3.109
Sr W Y
1 2 1
Direct
0.500 0.500 0.750
0.000 0.000 0.067
0.000 0.000 0.433
0.500 0.500 0.250
```

Values from the calculation:
E_form: 952.2 meV/atom
mass density: 9.08 g cm⁻³
polymorph energy (0 for the lowest one): 451 meV per atom

---

No. 21
This record from the Alexandria database describes Sr2YW after structural relaxation. The functional is PBE-GGA.

The structure in POSCAR format:
```
Sr2YW
1.0
-3.246 -2.153 -3.654
2.570 -0.589 -1.936
3.330 -6.692 0.986
Sr W Y
2 1 1
Direct
0.000 0.976 0.023
0.000 0.524 0.477
0.500 0.250 0.250
0.500 0.750 0.750
```

Values from the calculation:
E_form: 1062.9 meV/atom
mass density: 6.25 g cm⁻³
polymorph energy (0 for the lowest one): 376 meV per atom

---

No. 22
This record from the Alexandria database describes SrYW2 after structural relaxation. The functional is PBE-GGA.

The structure in POSCAR format:
```
SrYW2
1.0
10.912 -0.014 -0.008
10.481 3.036 -0.008
10.481 1.481 2.651
Sr W Y
1 2 1
Direct
0.750 0.750 0.750
0.996 0.996 0.996
0.504 0.504 0.504
0.250 0.250 0.250
```

Values from the calculation:
E_form: 1211.7 meV/atom
mass density: 10.21 g cm⁻³
polymorph energy (0 for the lowest one): 710 meV per atom

---

No. 23
This record from the Alexandria database describes Sr2YW after structural relaxation. The functional is PBE-GGA.

The structure in POSCAR format:
```
Sr2YW
1.0
-2.594 -2.680 -4.311
-0.590 -5.094 2.491
-1.739 4.935 2.264
Sr W Y
2 1 1
Direct
0.000 0.000 0.000
0.250 0.750 0.500
0.500 0.500 0.000
0.750 0.250 0.500
```

Values from the calculation:
E_form: 983.1 meV/atom
mass density: 6.17 g cm⁻³
polymorph energy (0 for the lowest one): 296 meV per atom

---

No. 24
This record from the Alexandria database describes SrYW2 after structural relaxation. The functional is PBE-GGA.

The structure in POSCAR format:
```
SrYW2
1.0
0.000 3.608 3.608
3.608 0.000 3.608
3.608 3.608 0.000
Y Sr W
1 1 2
Direct
0.500 0.500 0.500
0.000 0.000 0.000
0.250 0.250 0.250
0.750 0.750 0.750
```

Values from the calculation:
E_form: 1550.8 meV/atom
mass density: 9.62 g cm⁻³
polymorph energy (0 for the lowest one): 1049 meV per atom

---

No. 25
This record from the Alexandria database describes SrYW2 after structural relaxation. The functional is PBE-GGA.

The structure in POSCAR format:
```
SrYW2
1.0
-1.012 4.478 -4.235
-5.788 0.788 -2.211
3.737 -0.017 5.005
Sr W Y
1 2 1
Direct
0.230 0.730 0.500
0.960 0.960 0.000
0.801 0.301 0.500
0.509 0.509 0.000
```

Values from the calculation:
E_form: 709.6 meV/atom
mass density: 8.96 g cm⁻³
polymorph energy (0 for the lowest one): 208 meV per atom

---

No. 26
This record from the Alexandria database describes SrY3W after structural relaxation. The functional is PBE-GGA.

The structure in POSCAR format:
```
SrY3W
1.0
-4.100 3.743 -0.554
-1.032 -1.893 -5.146
-3.640 -3.679 2.083
Y Sr W
3 1 1
Direct
0.000 0.500 0.000
0.000 0.000 0.500
0.500 0.000 0.000
0.500 0.500 0.500
0.000 0.000 0.000
```

Values from the calculation:
E_form: 417.6 meV/atom
mass density: 5.15 g cm⁻³
polymorph energy (0 for the lowest one): 0 meV per atom

---

No. 27
This record from the Alexandria database describes SrYW2 after structural relaxation. The functional is PBE-GGA.

The structure in POSCAR format:
```
SrYW2
1.0
3.359 0.000 0.000
0.000 3.359 0.000
0.000 0.000 9.125
Sr W Y
1 2 1
Direct
0.500 0.500 0.804
0.000 0.000 0.070
0.500 0.500 0.203
0.000 0.000 0.423
```

Values from the calculation:
E_form: 501.5 meV/atom
mass density: 8.78 g cm⁻³
polymorph energy (0 for the lowest one): 0 meV per atom

---

No. 28
This record from the Alexandria database describes Sr2YW after structural relaxation. The functional is PBE-GGA.

The structure in POSCAR format:
```
Sr2YW
1.0
-6.865 1.946 -6.421
-6.853 -1.535 -6.545
-3.960 -0.102 2.499
Sr W Y
2 1 1
Direct
0.092 0.092 0.908
0.408 0.408 0.592
0.750 0.750 0.750
0.250 0.250 0.250
```

Values from the calculation:
E_form: 798.4 meV/atom
mass density: 4.99 g cm⁻³
polymorph energy (0 for the lowest one): 112 meV per atom